Entry one
BeCoSe after structural relaxation, computed with PBE-GGA.

Cell: 3.1625 3.1625 7.1040 Å, 90.00 90.00 90.00°
Closest atoms and distances in Å follow each position.
Space group I4mm (No. 107)
Inequivalent atoms, fractional coordinates:
Be (0.0000, 0.0000, 0.0000) (multiplicity 2)  5 Se 2.32-2.55, 5 Co 2.45-2.49
Co (0.0000, 0.0000, 0.3450) (multiplicity 2)  5 Se 2.34-2.55, 5 Be 2.45-2.49
Se (0.0000, 0.0000, 0.6739) (multiplicity 2)  5 Be 2.32-2.55, 5 Co 2.34-2.55

---

Entry two
BeCoSe after structural relaxation, computed with PBE-GGA.

Cell: 2.9256 2.9256 5.2353 Å, 90.00 90.00 120.00°
Closest atoms and distances in Å follow each position.
Space group P3m1 (No. 156)
Inequivalent atoms, fractional coordinates:
Be (0.0000, 0.0000, 0.0000) (multiplicity 1)  3 Co 2.31
Co (0.6667, 0.3333, 0.3010) (multiplicity 1)  3 Be 2.31, 3 Se 2.39
Se (0.3333, 0.6667, 0.6251) (multiplicity 1)  3 Co 2.39, 3 Be 2.59

---

It is entry one that is most stable; the runner-up trails by 12.4 kJ/mol of atoms.

---

Entry one
BeCoSe3 after structural relaxation, computed with PBE-GGA.

Cell: 4.5454 4.5454 4.5454 Å, 90.00 90.00 90.00°
Closest atoms and distances in Å follow each position.
Space group Pm-3m (No. 221)
Inequivalent atoms, fractional coordinates:
Be (0.0000, 0.0000, 0.0000) (multiplicity 1)  6 Se 2.27
Co (0.5000, 0.5000, 0.5000) (multiplicity 1)  12 Se 3.21
Se (0.0000, 0.0000, 0.5000) (multiplicity 3)  2 Be 2.27

---

Entry two
BeCoSe3 after structural relaxation, computed with PBE-GGA.

Cell: 4.6597 4.6597 4.6597 Å, 90.00 90.00 90.00°
Closest atoms and distances in Å follow each position.
Space group Pm-3m (No. 221)
Inequivalent atoms, fractional coordinates:
Be (0.0000, 0.0000, 0.0000) (multiplicity 1)  12 Se 3.29
Co (0.5000, 0.5000, 0.5000) (multiplicity 1)  6 Se 2.33
Se (0.0000, 0.5000, 0.5000) (multiplicity 3)  2 Co 2.33

---

It is entry one that is most stable; the runner-up trails by 6.5 kJ/mol of atoms.

---

Entry one
Be3CoSe after structural relaxation, computed with PBE-GGA.

Cell: 4.1889 4.1889 4.1889 Å, 90.00 90.00 90.00°
Closest atoms and distances in Å follow each position.
Space group Pm-3m (No. 221)
Inequivalent atoms, fractional coordinates:
Be (0.0000, 0.0000, 0.5000) (multiplicity 3)  2 Se 2.09
Co (0.5000, 0.5000, 0.5000) (multiplicity 1)  12 Be 2.96
Se (0.0000, 0.0000, 0.0000) (multiplicity 1)  6 Be 2.09

---

Entry two
Be3CoSe after structural relaxation, computed with PBE-GGA.

Cell: 4.0277 4.0277 4.0277 Å, 90.00 90.00 90.00°
Closest atoms and distances in Å follow each position.
Space group Pm-3m (No. 221)
Inequivalent atoms, fractional coordinates:
Be (0.0000, 0.0000, 0.5000) (multiplicity 3)  2 Co 2.01
Co (0.0000, 0.0000, 0.0000) (multiplicity 1)  6 Be 2.01
Se (0.5000, 0.5000, 0.5000) (multiplicity 1)  12 Be 2.85

---

It is entry two that is most stable; the runner-up trails by 54.0 kJ/mol of atoms.

---

Entry one
BeCo3Si after structural relaxation, computed with PBE-GGA.

Cell: 3.7765 3.7765 3.7765 Å, 90.00 90.00 90.00°
Closest atoms and distances in Å follow each position.
Space group Pm-3m (No. 221)
Inequivalent atoms, fractional coordinates:
Be (0.0000, 0.0000, 0.0000) (multiplicity 1)  6 Co 1.89
Co (0.0000, 0.0000, 0.5000) (multiplicity 3)  2 Be 1.89
Si (0.5000, 0.5000, 0.5000) (multiplicity 1)  12 Co 2.67

---

Entry two
BeCo3Si after structural relaxation, computed with PBE-GGA.

Cell: 5.5487 5.5487 3.9578 Å, 90.00 90.00 120.00°
Closest atoms and distances in Å follow each position.
Space group P6_3/mmc (No. 194)
Inequivalent atoms, fractional coordinates:
Be (0.0000, 0.0000, 0.0000) (multiplicity 2)  2 Be 1.98, 6 Co 2.07
Co (0.1894, 0.3788, 0.2500) (multiplicity 6)  2 Be 2.07
Si (0.3333, 0.6667, 0.7500) (multiplicity 2)  6 Co 2.41

---

It is entry two that is most stable; the runner-up trails by 23.9 kJ/mol of atoms.

---

Entry one
BeCoSi after structural relaxation, computed with PBE-GGA.

Cell: 3.5681 3.5681 5.2488 Å, 90.00 90.15 90.00°
Closest atoms and distances in Å follow each position.
Space group P2_1/m (No. 11)
Inequivalent atoms, fractional coordinates:
Be (0.2489, 0.2500, 0.2275) (multiplicity 2)  4 Co 2.29, 5 Si 2.33-2.52
Co (0.2499, 0.7500, 0.5000) (multiplicity 2)  4 Be 2.29, 4 Si 2.32, 4 Co 2.52
Si (0.2513, 0.2500, 0.7837) (multiplicity 2)  4 Co 2.32, 5 Be 2.33-2.52

---

Entry two
BeCoSi after structural relaxation, computed with PBE-GGA.

Cell: 2.8669 2.8669 7.2231 Å, 90.00 90.00 90.00°
Closest atoms and distances in Å follow each position.
Space group I4mm (No. 107)
Inequivalent atoms, fractional coordinates:
Be (0.0000, 0.0000, 0.0000) (multiplicity 2)  5 Co 2.33-2.47, 5 Si 2.36-2.38
Co (0.0000, 0.0000, 0.6584) (multiplicity 2)  5 Be 2.33-2.47, 5 Si 2.36-2.40
Si (0.0000, 0.0000, 0.3266) (multiplicity 2)  5 Be 2.36-2.38, 5 Co 2.36-2.40

---

Entry three
BeCoSi after structural relaxation, computed with PBE-GGA.

Cell: 3.7219 3.7219 2.5078 Å, 90.00 90.00 120.00°
Closest atoms and distances in Å follow each position.
Space group P3m1 (No. 156)
Inequivalent atoms, fractional coordinates:
Be (0.0000, 0.0000, 0.0000) (multiplicity 1)  3 Si 2.27, 3 Co 2.32, 2 Be 2.51
Co (0.6667, 0.3333, 0.3482) (multiplicity 1)  3 Be 2.32, 3 Si 2.33, 2 Co 2.51
Si (0.3333, 0.6667, 0.7109) (multiplicity 1)  3 Be 2.27, 3 Co 2.33, 2 Si 2.51

---

Entry four
BeCoSi after structural relaxation, computed with PBE-GGA.

Cell: 2.5735 2.5735 5.5390 Å, 90.00 90.00 120.00°
Closest atoms and distances in Å follow each position.
Space group P3m1 (No. 156)
Inequivalent atoms, fractional coordinates:
Be (0.0000, 0.0000, 0.0000) (multiplicity 1)  3 Co 2.28, 3 Si 2.49
Co (0.3333, 0.6667, 0.3125) (multiplicity 1)  3 Be 2.28, 3 Si 2.34
Si (0.6667, 0.3333, 0.6383) (multiplicity 1)  3 Co 2.34, 3 Be 2.49, 6 Si 2.57

---

It is entry two that is most stable; the runner-up trails by 11.9 kJ/mol of atoms.

---

Entry one
BeCoSi after structural relaxation, computed with PBE-GGA.

Cell: 5.2118 5.2118 5.2118 Å, 90.00 90.00 90.00°
Closest atoms and distances in Å follow each position.
Space group F-43m (No. 216)
Inequivalent atoms, fractional coordinates:
Be (0.0000, 0.0000, 0.0000) (multiplicity 4)  4 Co 2.26
Co (0.2500, 0.2500, 0.7500) (multiplicity 4)  4 Be 2.26, 4 Si 2.26
Si (0.0000, 0.0000, 0.5000) (multiplicity 4)  4 Co 2.26

---

Entry two
BeCoSi after structural relaxation, computed with PBE-GGA.

Cell: 5.2379 5.2379 5.2379 Å, 90.00 90.00 90.00°
Closest atoms and distances in Å follow each position.
Space group F-43m (No. 216)
Inequivalent atoms, fractional coordinates:
Be (0.0000, 0.0000, 0.0000) (multiplicity 4)  4 Si 2.27
Co (0.0000, 0.0000, 0.5000) (multiplicity 4)  4 Si 2.27
Si (0.2500, 0.2500, 0.2500) (multiplicity 4)  4 Co 2.27, 4 Be 2.27

---

It is entry one that is most stable; the runner-up trails by 12.9 kJ/mol of atoms.